A geometry-optimized Ba2CuAsH structure, computed with PBE.

The value obtained for the calculated volume is 25.255 A^3/atom. Its total energy is -3.650 eV per atom. For the total magnetization, the calculation gives 0.0 μB per cell.

The space group is P4/mmm (No. 123) and the conventional cell measures 5.530, 5.530 and 4.129 Å, with angles of 90.00, 90.00 and 90.00 degrees. Symmetry generates all atoms from Ba at (0.000, 0.500, 0.000), Cu at (0.000, 0.000, 0.500), As at (0.500, 0.500, 0.500) and H at (0.000, 0.000, 0.000).